1.
The following is a DFT calculation (PBE-GGA) of an optimized crystal structure of RbRhC3.

```
5
Lattice="-1.013 -2.262 3.382 0.788 -3.528 -2.124 3.992 0.122 1.277" Properties=species:S:1:pos:R:3 pbc="T T T"
C 0.394 -1.764 -1.062
C 1.996 0.061 0.639
C -0.506 -1.131 1.691
Rh 0.000 0.000 0.000
Rb 1.883 -2.834 1.268
```

Output
Total magnetic moment = 0.800 μB per atom
Symmetry = No. 221
Density = 5.1 g cm⁻³

---

2.
The following is a DFT calculation (PBE-GGA) of an optimized crystal structure of RbRhC3.

```
5
Lattice="4.273 0.000 0.000 0.000 4.273 0.000 0.000 0.000 4.273" Properties=species:S:1:pos:R:3 pbc="T T T"
C 0.000 2.137 0.000
C 0.000 0.000 2.137
C 2.137 0.000 0.000
Rh 2.137 2.137 2.137
Rb 0.000 0.000 0.000
```

Output
Total magnetic moment = 0.000 μB per atom
Symmetry = No. 221
Density = 4.8 g cm⁻³

---

Energies relative to the minimum, meV/atom: 1 0; 2 2396

---

1.
The following is a DFT calculation (PBE-GGA) of an optimized crystal structure of RbRuC3.

```
5
Lattice="4.132 0.000 0.000 0.000 4.132 0.000 0.000 0.000 4.132" Properties=species:S:1:pos:R:3 pbc="T T T"
Ru 0.000 0.000 0.000
C 0.000 2.066 0.000
C 0.000 0.000 2.066
C 2.066 0.000 0.000
Rb 2.066 2.066 2.066
```

Output
Total magnetic moment = 0.482 μB per atom
Symmetry = No. 221
Density = 5.2 g cm⁻³

---

2.
The following is a DFT calculation (PBE-GGA) of an optimized crystal structure of RbRuC3.

```
5
Lattice="4.196 0.000 0.000 0.000 4.196 0.000 0.000 0.000 4.196" Properties=species:S:1:pos:R:3 pbc="T T T"
Ru 2.098 2.098 2.098
C 0.000 2.098 0.000
C 0.000 0.000 2.098
C 2.098 0.000 0.000
Rb 0.000 0.000 0.000
```

Output
Total magnetic moment = 0.000 μB per atom
Symmetry = No. 221
Density = 5.0 g cm⁻³

---

Energies relative to the minimum, meV/atom: 1 0; 2 2860

---

1.
The following is a DFT calculation (PBE-GGA) of an optimized crystal structure of RbC3S.

```
5
Lattice="-4.337 -0.041 -3.569 -1.257 -5.239 1.588 -3.340 2.025 4.036" Properties=species:S:1:pos:R:3 pbc="T T T"
S -4.467 -1.628 1.028
C -0.628 -2.619 0.794
C -1.670 1.012 2.018
C -2.168 -0.021 -1.784
Rb 0.000 0.000 0.000
```

Output
Total magnetic moment = 1.000 μB per atom
Symmetry = No. 221
Density = 1.4 g cm⁻³

---

2.
The following is a DFT calculation (PBE-GGA) of an optimized crystal structure of RbC3S.

```
5
Lattice="4.022 0.000 0.000 0.000 4.022 0.000 0.000 0.000 4.022" Properties=species:S:1:pos:R:3 pbc="T T T"
S 0.000 0.000 0.000
C 0.000 2.011 0.000
C 0.000 0.000 2.011
C 2.011 0.000 0.000
Rb 2.011 2.011 2.011
```

Output
Total magnetic moment = 0.000 μB per atom
Symmetry = No. 221
Density = 3.9 g cm⁻³

---

Energies relative to the minimum, meV/atom: 1 1609; 2 0

---

1.
The following is a DFT calculation (PBE-GGA) of an optimized crystal structure of RbSb2TeC.

```
5
Lattice="6.301 0.000 0.000 0.000 6.301 0.000 0.000 0.000 6.294" Properties=species:S:1:pos:R:3 pbc="T T T"
Sb 0.000 3.151 0.000
Sb 3.151 0.000 0.000
C 3.151 3.151 3.147
Te 0.000 0.000 3.147
Rb 0.000 0.000 0.000
```

Output
Total magnetic moment = 0.082 μB per atom
Symmetry = No. 123
Density = 3.1 g cm⁻³

---

2.
The following is a DFT calculation (PBE-GGA) of an optimized crystal structure of RbSb2TeC.

```
5
Lattice="4.889 0.000 0.000 0.000 4.889 0.000 0.000 0.000 5.623" Properties=species:S:1:pos:R:3 pbc="T T T"
Sb 0.000 2.445 0.000
Sb 2.445 0.000 0.000
C 0.000 0.000 0.000
Te 0.000 0.000 2.812
Rb 2.445 2.445 2.812
```

Output
Total magnetic moment = 0.000 μB per atom
Symmetry = No. 123
Density = 5.8 g cm⁻³

---

Energies relative to the minimum, meV/atom: 1 1844; 2 0